{
  "formula": "Na4Hf3TiSe8",
  "functional": "PBE-GGA",
  "state": "optimized geometry",
  "lattice": [[7.6164, 0.0000, 0.0000], [0.0000, 8.3721, 0.5252], [-3.8082, -3.8051, 5.3895]],
  "species": ["Se", "Se", "Se", "Se", "Se", "Se", "Se", "Se", "Na", "Na", "Na", "Na", "Hf", "Hf", "Hf", "Ti"],
  "fractional_positions": [[0.2387, 0.7202, 0.4773], [0.7429, 0.7202, 0.9816], [0.2571, 0.2798, 0.0184], [0.7412, 0.7235, 0.4823], [0.7613, 0.2798, 0.0184], [0.2387, 0.7202, 0.9816], [0.7613, 0.2798, 0.5227], [0.2588, 0.2765, 0.5177], [0.5000, 0.0000, 0.0000], [0.5000, 0.0000, 0.5000], [0.0000, 0.0000, 0.5000], [0.0000, 0.0000, 0.0000], [0.5000, 0.5000, 0.0000], [0.5000, 0.5000, 0.5000], [0.0000, 0.5000, 0.5000], [0.0000, 0.5000, 0.0000]],
  "e_form_raw_ev_per_atom": -1.24,
  "spacegroup": "R-3m, No. 166"
}



{
  "formula": "La3Tb2PrP6",
  "functional": "PBE-GGA",
  "state": "optimized geometry",
  "lattice": [[7.2431, -0.0009, 0.0006], [-3.6206, 6.2733, 0.0006], [-1.2079, -2.0915, 6.8317]],
  "species": ["La", "La", "La", "Tb", "Tb", "P", "P", "P", "P", "P", "P", "Pr"],
  "fractional_positions": [[0.1659, 0.8341, 0.5000], [0.8341, 0.1659, 0.5000], [0.5000, 0.5000, 0.5000], [0.3331, 0.6669, 0.0000], [0.6669, 0.3331, 0.0000], [0.7411, 0.7411, 0.2405], [0.9196, 0.5806, 0.7589], [0.4194, 0.0804, 0.2411], [0.2589, 0.2589, 0.7595], [0.0804, 0.4194, 0.2411], [0.5806, 0.9196, 0.7589], [0.0000, 0.0000, 0.0000]],
  "e_form_ev_per_atom": -1.57,
  "spacegroup": "C2/m, No. 12"
}



{
  "formula": "YPaTe2N",
  "functional": "PBE-GGA",
  "state": "optimized geometry",
  "lattice": [[4.1024, 0.0000, 0.0000], [0.0000, 4.1024, 0.0000], [0.0000, 0.0000, 14.7606]],
  "species": ["Pa", "Pa", "Te", "Te", "Te", "Te", "N", "N", "Y", "Y"],
  "fractional_positions": [[0.0000, 0.5000, 0.4255], [0.5000, 0.0000, 0.5745], [0.5000, 0.0000, 0.3095], [0.0000, 0.5000, 0.6905], [0.0000, 0.5000, 0.1267], [0.5000, 0.0000, 0.8733], [0.5000, 0.5000, 0.5000], [0.0000, 0.0000, 0.5000], [0.5000, 0.0000, 0.0867], [0.0000, 0.5000, 0.9133]],
  "e_form_raw_ev_per_atom": -1.46,
  "spacegroup": "P4/nmm, No. 129"
}



{
  "formula": "CaPu2ScS4",
  "functional": "PBE-GGA",
  "state": "optimized geometry",
  "lattice": [[3.9020, 0.0000, 0.0000], [0.0000, 6.7814, 0.1273], [0.0000, -2.3595, 6.3495]],
  "species": ["S", "S", "S", "S", "Pu", "Pu", "Ca", "Sc"],
  "fractional_positions": [[0.5000, 0.2369, 0.2373], [0.0000, 0.2423, 0.7568], [0.5000, 0.7631, 0.7627], [0.0000, 0.7577, 0.2432], [0.0000, 0.5000, 0.5000], [0.5000, 0.0000, 0.5000], [0.5000, 0.5000, 0.0000], [0.0000, 0.0000, 0.0000]],
  "e_form_raw_ev_per_atom": -1.84,
  "spacegroup": "P2/m, No. 10"
}



{
  "formula": "CaRePt",
  "functional": "PBE-GGA",
  "state": "optimized geometry",
  "lattice": [[-2.5320, -2.9149, -4.4028], [2.3146, -2.0875, -4.9576], [-0.2837, 0.3507, 5.8386]],
  "species": ["Ca", "Re", "Pt"],
  "fractional_positions": [[0.9966, 0.9966, 0.0000], [0.7120, 0.7120, 0.0000], [0.2914, 0.2914, 0.0000]],
  "polymorph_energy_ev_per_fu": 0.01,
  "e_form_ev_per_atom": 0.11,
  "spacegroup": "Imm2, No. 44"
}



{
  "formula": "Pa2GeSb",
  "functional": "PBE-GGA",
  "state": "optimized geometry",
  "lattice": [[-2.5973, -3.2891, 0.5300], [3.8511, -0.5910, -1.6305], [0.8707, 0.4966, 7.3483]],
  "species": ["Ge", "Pa", "Pa", "Sb"],
  "fractional_positions": [[0.5000, 0.0000, 0.0000], [0.2421, 0.4842, 0.2263], [0.7579, 0.5158, 0.7737], [0.0000, 0.0000, 0.5000]],
  "polymorph_energy_ev_per_fu": 0.00,
  "e_form_raw_ev_per_atom": -0.47,
  "spacegroup": "R-3m, No. 166"
}



{
  "formula": "CdSnHg5",
  "functional": "PBE-GGA",
  "state": "optimized geometry",
  "lattice": [[5.5275, -0.7579, -2.4540], [-0.7690, 6.4814, -3.7339], [-0.7380, 1.4322, 10.2095]],
  "species": ["Hg", "Hg", "Hg", "Hg", "Hg", "Hg", "Hg", "Hg", "Hg", "Hg", "Cd", "Cd", "Sn", "Sn"],
  "fractional_positions": [[0.2500, 0.3222, 0.5000], [0.6155, 0.1765, 0.7669], [0.7500, 0.6778, 0.5000], [0.1155, 0.0903, 0.7669], [0.4770, 0.7410, 0.8248], [0.8845, 0.9097, 0.2331], [0.5230, 0.2590, 0.1752], [0.9770, 0.5838, 0.8248], [0.3845, 0.8235, 0.2331], [0.0230, 0.4162, 0.1752], [0.0000, 0.0000, 0.0000], [0.5000, 0.5000, 0.0000], [0.7500, 0.2349, 0.5000], [0.2500, 0.7651, 0.5000]],
  "e_form_ev_per_atom": 0.05,
  "spacegroup": "C2/c, No. 15"
}



{
  "formula": "YIn3Tc",
  "functional": "PBE-GGA",
  "state": "optimized geometry",
  "lattice": [[-1.9122, -3.1846, 3.5359], [3.4277, -3.5650, -1.3572], [3.3008, 1.8573, 3.4577]],
  "species": ["Y", "In", "In", "In", "Tc"],
  "fractional_positions": [[0.5000, 0.5000, 0.5000], [0.0000, 0.0000, 0.5000], [0.5000, 0.0000, 0.0000], [0.0000, 0.5000, 0.0000], [0.0000, 0.0000, 0.0000]],
  "polymorph_energy_ev_per_fu": 0.00,
  "e_form_ev_per_atom": 0.18,
  "spacegroup": "Pm-3m, No. 221"
}